{
  "formula": "YZn2BI",
  "functional": "PBE",
  "state": "optimized geometry",
  "cell": [[-3.095, 4.326, 2.553], [-2.470, -3.215, 2.453], [3.971, 0.271, 4.355]],
  "species": ["I", "Y", "Zn", "Zn", "B"],
  "fractional_positions": [[0.500, 0.500, 0.500], [0.000, 0.000, 0.000], [0.000, 0.000, 0.500], [0.500, 0.000, 0.000], [0.000, 0.500, 0.000]],
  "space_group": "P4/mmm, No. 123",
  "energy_ev_per_atom": -2.432,
  "volume_a3_per_fu": 164.9
}

***

{
  "formula": "PaInNiAg",
  "functional": "PBE",
  "state": "optimized geometry",
  "cell": [[4.826, 0.000, 0.000], [2.413, 4.179, 0.000], [2.413, 1.393, 3.940]],
  "species": ["Ni", "Pa", "Ag", "In"],
  "fractional_positions": [[0.000, 0.000, 0.000], [0.750, 0.750, 0.750], [0.500, 0.500, 0.500], [0.250, 0.250, 0.250]],
  "e_form_ev_per_atom": -0.067,
  "space_group": "F-43m, No. 216",
  "energy_ev_per_atom": -5.284,
  "volume_a3_per_fu": 79.5
}

***

{
  "formula": "Al2CdSn2",
  "functional": "PBE",
  "state": "optimized geometry",
  "cell": [[3.909, 0.000, 0.000], [0.000, 3.909, 0.000], [1.955, 1.955, 8.140]],
  "species": ["Al", "Al", "Sn", "Sn", "Cd"],
  "fractional_positions": [[0.750, 0.250, 0.500], [0.250, 0.750, 0.500], [0.384, 0.384, 0.231], [0.616, 0.616, 0.769], [0.000, 0.000, 0.000]],
  "e_form_ev_per_atom": 0.150,
  "de_polymorph_kj_per_mol_atoms": 0.0,
  "space_group": "I4/mmm, No. 139",
  "energy_ev_per_atom": -3.131,
  "volume_a3_per_fu": 124.4
}

***

{
  "formula": "TbTm2ThSc",
  "functional": "PBE",
  "state": "optimized geometry",
  "cell": [[-0.629, 5.570, 0.149], [-4.980, -0.353, -7.847], [-3.770, -0.554, 4.771]],
  "species": ["Tb", "Tb", "Tm", "Tm", "Tm", "Tm", "Th", "Th", "Sc", "Sc"],
  "fractional_positions": [[0.250, 0.693, 0.264], [0.750, 0.307, 0.736], [0.750, 0.897, 0.537], [0.750, 0.696, 0.922], [0.250, 0.103, 0.463], [0.250, 0.304, 0.078], [0.250, 0.901, 0.871], [0.750, 0.099, 0.129], [0.250, 0.506, 0.665], [0.750, 0.494, 0.335]],
  "e_form_ev_per_atom": 0.038,
  "space_group": "P2_1/m, No. 11",
  "energy_ev_per_atom": -5.427,
  "volume_a3_per_fu": 150.5
}

***

{
  "formula": "SmZn2Ga4Ni",
  "functional": "PBE",
  "state": "optimized geometry",
  "cell": [[-2.339, 2.957, 2.057], [-3.515, 1.628, -1.854], [-6.802, -4.824, 3.686]],
  "species": ["Sm", "Zn", "Zn", "Ga", "Ga", "Ga", "Ga", "Ni"],
  "fractional_positions": [[0.000, 0.000, 0.000], [0.745, 0.745, 0.765], [0.255, 0.255, 0.235], [0.404, 0.404, 0.789], [0.863, 0.863, 0.410], [0.137, 0.137, 0.590], [0.596, 0.596, 0.211], [0.500, 0.500, 0.500]],
  "e_form_ev_per_atom": -0.281,
  "space_group": "R-3m, No. 166",
  "energy_ev_per_atom": -3.426,
  "volume_a3_per_fu": 140.1
}

***

{
  "formula": "GeP2IrO",
  "functional": "PBE",
  "state": "optimized geometry",
  "cell": [[-1.646, 0.236, 4.566], [-1.586, -4.581, -0.335], [3.255, -1.218, 1.236]],
  "species": ["P", "P", "Ge", "Ir", "O"],
  "fractional_positions": [[0.000, 0.500, 0.000], [0.500, 0.000, 0.000], [0.500, 0.500, 0.500], [0.000, 0.000, 0.000], [0.000, 0.000, 0.500]],
  "de_polymorph_kj_per_mol_atoms": 0.0,
  "space_group": "P4/mmm, No. 123",
  "energy_ev_per_atom": -5.566,
  "volume_a3_per_fu": 87.1
}

***

Number 5 is which compound?
SmZn2Ga4Ni